[1]
Pm2SmAl | the Alexandria database | PBE | relaxed; space group = No. 225; E_tot = -4.5203 eV per atom; N(E_F) = 1.982 states/eV per atom; ΔE_f = -30 meV per atom
1.0
-2.566 2.180 -4.309
1.782 -1.050 -5.062
-2.944 -3.187 -3.329
Al Sm Pm
1 1 2
Cartesian
0.000 0.000 0.000
-1.864 -1.028 -6.350
-0.932 -0.514 -3.175
-2.796 -1.542 -9.525


[2]
PmSmAl2 | the Alexandria database | PBE | relaxed; space group = No. 225; E_tot = -4.6101 eV per atom; N(E_F) = 0.321 states/eV per atom; ΔE_f = -371 meV per atom
1.0
-3.937 3.430 -0.036
-3.637 -0.160 3.743
-0.207 3.775 3.602
Al Sm Pm
2 1 1
Cartesian
0.000 0.000 0.000
-3.890 3.522 3.655
-5.836 5.284 5.482
-1.945 1.761 1.827


[3]
PmSm4Al | the Alexandria database | PBE | relaxed; space group = No. 123; E_tot = -4.6634 eV per atom; N(E_F) = 1.280 states/eV per atom; ΔE_f = -102 meV per atom
1.0
-2.413 -0.114 2.687
1.337 -3.183 1.066
9.237 6.754 8.581
Pm Sm Al
1 4 1
Cartesian
0.000 0.000 0.000
1.140 -0.421 3.435
5.861 4.285 5.445
3.376 2.469 3.136
7.021 3.879 8.899
4.080 1.729 6.167


[4]
Pm2SmAl | the Alexandria database | PBE | relaxed; space group = No. 123; E_tot = -4.6597 eV per atom; N(E_F) = 1.766 states/eV per atom; ΔE_f = -169 meV per atom
1.0
4.865 0.000 0.000
0.000 4.858 0.000
0.000 0.000 4.858
Al Sm Pm
1 1 2
Cartesian
2.432 0.000 0.000
2.432 2.429 2.429
0.000 0.000 2.429
0.000 2.429 0.000